HfSb2AsI | PBE | relaxed

Properties
E above lowest polymorph	327	meV/atom
crystal system	tetragonal
space group	P4/mmm (123)
ΔE_f (raw)	0.8471	eV/atom
total magnetic moment	0.0	μB/f.u.

Lattice parameters (Å, degrees): 5.344 5.344 5.288 90.00 90.00 90.00
Element x y z (fractional)
Sb 0.500 0.000 0.000
Sb 0.000 0.500 0.000
As 0.000 0.000 0.000
I 0.000 0.000 0.500
Hf 0.500 0.500 0.500